(1)
# Mg8ZnSe4

A geometry-optimized Mg8ZnSe4 structure (PBE, Alexandria).

```
Mg8ZnSe4
1.0
-4.473 4.473 3.728
4.473 -4.473 3.728
4.473 4.473 -3.728
Mg Zn Se
8 1 4
direct
0.000 0.229 0.229
0.000 0.771 0.771
0.191 0.500 0.691
0.229 0.000 0.229
0.500 0.191 0.691
0.500 0.809 0.309
0.771 0.000 0.771
0.809 0.500 0.309
0.500 0.500 0.000
0.000 0.000 0.500
0.000 0.500 0.000
0.500 0.000 0.000
0.500 0.500 0.500
```

Values from the calculation:
Uncorrected energy in eV per atom: -2.5291
Symmetry: I4/mmm
Crystal system: tetragonal

***

(2)
# TlPt2W

A geometry-optimized TlPt2W structure (PBE, Alexandria).

```
TlPt2W
1.0
2.861 -4.200 0.000
2.861 4.200 0.000
0.000 0.000 2.865
Tl Pt W
1 2 1
direct
0.000 0.000 0.000
0.000 0.500 0.500
0.500 0.000 0.500
0.500 0.500 0.000
```

Values from the calculation:
Uncorrected energy in eV per atom: -6.5893
Symmetry: Cmmm
Crystal system: orthorhombic
Energy of formation from the pure elements in eV per atom: 0.26

***

(3)
# PrCd6Pd2

A geometry-optimized PrCd6Pd2 structure (PBE, Alexandria).

```
PrCd6Pd2
1.0
7.094 -3.040 0.000
7.094 3.040 0.000
-1.787 0.000 4.734
Pr Cd Pd
1 6 2
direct
0.000 0.000 0.000
0.043 0.543 0.293
0.282 0.718 0.500
0.457 0.957 0.707
0.543 0.043 0.293
0.718 0.282 0.500
0.957 0.457 0.707
0.392 0.392 0.892
0.608 0.608 0.108
```

Values from the calculation:
Uncorrected energy in eV per atom: -2.4302
Symmetry: C2/m
Crystal system: monoclinic
Energy of formation from the pure elements in eV per atom: -0.14

***

(4)
# Na3H7Rh2

A geometry-optimized Na3H7Rh2 structure (PBE, Alexandria).

```
Na3H7Rh2
1.0
1.775 -9.767 0.000
1.775 9.767 0.000
0.000 0.000 3.506
Na H Rh
3 7 2
direct
0.000 0.000 0.000
0.176 0.824 0.000
0.824 0.176 0.000
0.090 0.910 0.500
0.321 0.679 0.500
0.410 0.590 0.000
0.500 0.500 0.500
0.590 0.410 0.000
0.679 0.321 0.500
0.910 0.090 0.500
0.408 0.592 0.500
0.592 0.408 0.500
```

Values from the calculation:
Uncorrected energy in eV per atom: -3.7801
Symmetry: Cmmm
Crystal system: orthorhombic

***

(5)
# BaNaGaF6

A geometry-optimized BaNaGaF6 structure (PBE, Alexandria).

```
BaNaGaF6
1.0
5.657 0.000 0.000
-2.828 4.899 0.000
0.000 0.000 5.429
Ba Na Ga F
1 1 1 6
direct
0.000 0.000 0.000
0.333 0.667 0.500
0.667 0.333 0.500
0.393 0.048 0.704
0.393 0.345 0.296
0.655 0.048 0.296
0.655 0.607 0.704
0.952 0.345 0.704
0.952 0.607 0.296
```

Values from the calculation:
Uncorrected energy in eV per atom: -5.0775
Symmetry: P312
Crystal system: trigonal

***

(6)
# SmNb2B6

A geometry-optimized SmNb2B6 structure (PBE, Alexandria).

```
SmNb2B6
1.0
5.508 0.000 0.000
-2.754 4.770 0.000
0.000 0.000 3.564
Sm Nb B
1 2 6
direct
0.000 0.000 0.000
0.333 0.667 0.000
0.667 0.333 0.000
0.000 0.341 0.500
0.000 0.659 0.500
0.341 0.000 0.500
0.341 0.341 0.500
0.659 0.000 0.500
0.659 0.659 0.500
```

Values from the calculation:
Uncorrected energy in eV per atom: -7.8045
Symmetry: P6/mmm
Crystal system: hexagonal
Energy of formation from the pure elements in eV per atom: -0.59

***

(7)
# TmThRuPt

A geometry-optimized TmThRuPt structure (PBE, Alexandria).

```
TmThRuPt
1.0
0.000 3.509 3.509
3.509 0.000 3.509
3.509 3.509 0.000
Tm Th Ru Pt
1 1 1 1
direct
0.000 0.000 0.000
0.500 0.500 0.500
0.750 0.750 0.750
0.250 0.250 0.250
```

Values from the calculation:
Uncorrected energy in eV per atom: -7.5764
Symmetry: F-43m
Crystal system: cubic
Energy of formation from the pure elements in eV per atom: -0.77

***

(8)
# POsRuN

A geometry-optimized POsRuN structure (PBE, Alexandria).

```
POsRuN
1.0
1.428 0.824 6.934
-1.428 0.824 6.934
0.000 -1.649 6.934
P Os Ru N
1 1 1 1
direct
0.000 0.000 0.000
0.750 0.750 0.750
0.239 0.239 0.239
0.849 0.849 0.849
```

Values from the calculation:
Uncorrected energy in eV per atom: -8.4006
Symmetry: R3m
Crystal system: trigonal

***

(9)
# BePtRh2

A geometry-optimized BePtRh2 structure (PBE, Alexandria).

```
BePtRh2
1.0
2.737 0.000 0.000
0.000 3.649 0.000
0.000 0.000 5.394
Be Pt Rh
1 1 2
direct
0.000 0.000 0.000
0.500 0.500 0.217
0.000 0.000 0.507
0.500 0.500 0.739
```

Values from the calculation:
Uncorrected energy in eV per atom: -6.2812
Symmetry: Pmm2
Crystal system: orthorhombic
Energy of formation from the pure elements in eV per atom: -0.16

***

(10)
# ScTiCo

A geometry-optimized ScTiCo structure (PBE, Alexandria).

```
ScTiCo
1.0
4.131 0.000 0.000
0.000 4.131 0.000
0.000 0.000 6.048
Sc Ti Co
2 2 2
direct
0.250 0.250 0.131
0.750 0.750 0.869
0.250 0.750 0.500
0.750 0.250 0.500
0.250 0.250 0.709
0.750 0.750 0.291
```

Values from the calculation:
Uncorrected energy in eV per atom: -7.3565
Symmetry: P4/nmm
Crystal system: tetragonal
Energy of formation from the pure elements in eV per atom: -0.25

***

(11)
# Re2GeBPt

A geometry-optimized Re2GeBPt structure (PBE, Alexandria).

```
Re2GeBPt
1.0
4.130 0.000 0.000
0.000 4.130 0.000
0.000 0.000 4.158
Re Ge B Pt
2 1 1 1
direct
0.000 0.500 0.000
0.500 0.000 0.000
0.000 0.000 0.500
0.000 0.000 0.000
0.500 0.500 0.500
```

Values from the calculation:
Uncorrected energy in eV per atom: -7.8452
Symmetry: P4/mmm
Crystal system: tetragonal
Energy of formation from the pure elements in eV per atom: 0.60

***

(12)
# AcCu8Ni2

A geometry-optimized AcCu8Ni2 structure (PBE, Alexandria).

```
AcCu8Ni2
1.0
4.862 0.000 0.000
0.000 4.862 0.000
0.000 0.000 8.422
Ac Cu Ni
1 8 2
direct
0.000 0.000 0.000
0.252 0.252 0.299
0.252 0.252 0.701
0.252 0.748 0.299
0.252 0.748 0.701
0.748 0.252 0.299
0.748 0.252 0.701
0.748 0.748 0.299
0.748 0.748 0.701
0.000 0.500 0.500
0.500 0.000 0.500
```

Values from the calculation:
Uncorrected energy in eV per atom: -4.0464
Symmetry: P4/mmm
Crystal system: tetragonal
Energy of formation from the pure elements in eV per atom: 0.36

***

(13)
# BaNaTc2

A geometry-optimized BaNaTc2 structure (PBE, Alexandria).

```
BaNaTc2
1.0
0.000 3.590 3.590
3.590 0.000 3.590
3.590 3.590 0.000
Ba Na Tc
1 1 2
direct
0.000 0.000 0.000
0.500 0.500 0.500
0.250 0.250 0.250
0.750 0.750 0.750
```

Values from the calculation:
Uncorrected energy in eV per atom: -4.3828
Symmetry: Fm-3m
Crystal system: cubic
Energy of formation from the pure elements in eV per atom: 1.61

***

(14)
# Rb8Bi2Te

A geometry-optimized Rb8Bi2Te structure (PBE, Alexandria).

```
Rb8Bi2Te
1.0
-3.174 4.431 9.627
3.174 -4.431 9.627
3.174 4.431 -9.627
Rb Bi Te
8 2 1
direct
0.114 0.352 0.763
0.188 0.188 0.000
0.271 0.000 0.271
0.411 0.648 0.763
0.589 0.352 0.237
0.729 0.000 0.729
0.812 0.812 0.000
0.886 0.648 0.237
0.321 0.821 0.500
0.679 0.179 0.500
0.000 0.500 0.500
```

Values from the calculation:
Uncorrected energy in eV per atom: -2.1867
Symmetry: Immm
Crystal system: orthorhombic

***

(15)
# FeWAu2

A geometry-optimized FeWAu2 structure (PBE, Alexandria).

```
FeWAu2
1.0
4.904 0.000 0.000
0.000 4.904 0.000
0.000 0.000 2.745
Fe W Au
1 1 2
direct
0.000 0.000 0.000
0.500 0.500 0.000
0.000 0.500 0.500
0.500 0.000 0.500
```

Values from the calculation:
Uncorrected energy in eV per atom: -6.5031
Symmetry: P4/mmm
Crystal system: tetragonal
Energy of formation from the pure elements in eV per atom: 0.49

***

(16)
# LaTa2Cl

A geometry-optimized LaTa2Cl structure (PBE, Alexandria).

```
LaTa2Cl
1.0
-2.409 2.409 3.700
2.409 -2.409 3.700
2.409 2.409 -3.700
La Ta Cl
1 2 1
direct
0.000 0.000 0.000
0.250 0.750 0.500
0.500 0.500 0.000
0.750 0.250 0.500
```

Values from the calculation:
Uncorrected energy in eV per atom: -7.0849
Symmetry: I-4m2
Crystal system: tetragonal

***

(17)
# ThScAl2Zn2

A geometry-optimized ThScAl2Zn2 structure (PBE, Alexandria).

```
ThScAl2Zn2
1.0
4.423 0.000 0.000
-2.212 3.831 0.000
0.000 0.000 7.148
Th Sc Al Zn
1 1 2 2
direct
0.000 0.000 0.000
0.000 0.000 0.500
0.333 0.667 0.717
0.667 0.333 0.283
0.333 0.667 0.291
0.667 0.333 0.709
```

Values from the calculation:
Uncorrected energy in eV per atom: -4.3888
Symmetry: P-3m1
Crystal system: trigonal
Energy of formation from the pure elements in eV per atom: -0.42

***

(18)
# AcPm5Ru3

A geometry-optimized AcPm5Ru3 structure (PBE, Alexandria).

```
AcPm5Ru3
1.0
6.396 -4.632 0.000
6.396 4.632 0.000
-4.161 0.000 9.517
Ac Pm Ru
2 10 6
direct
0.109 0.109 0.304
0.891 0.891 0.696
0.038 0.639 0.326
0.234 0.234 0.032
0.304 0.696 0.000
0.361 0.962 0.674
0.427 0.427 0.629
0.573 0.573 0.371
0.639 0.038 0.326
0.696 0.304 0.000
0.766 0.766 0.968
0.962 0.361 0.674
0.000 0.000 0.000
0.000 0.000 0.500
0.331 0.331 0.832
0.342 0.342 0.329
0.658 0.658 0.671
0.669 0.669 0.168
```

Values from the calculation:
Uncorrected energy in eV per atom: -6.3343
Symmetry: C2/m
Crystal system: monoclinic
Energy of formation from the pure elements in eV per atom: -0.15

***

(19)
# NaPmNiAs

A geometry-optimized NaPmNiAs structure (PBE, Alexandria).

```
NaPmNiAs
1.0
0.000 3.468 3.468
3.468 0.000 3.468
3.468 3.468 0.000
Na Pm Ni As
1 1 1 1
direct
0.000 0.000 0.000
0.500 0.500 0.500
0.250 0.250 0.250
0.750 0.750 0.750
```

Values from the calculation:
Uncorrected energy in eV per atom: -4.4394
Symmetry: F-43m
Crystal system: cubic
Energy of formation from the pure elements in eV per atom: -0.31

***

(20)
# Mg3Si4

A geometry-optimized Mg3Si4 structure (PBE, Alexandria).

```
Mg3Si4
1.0
8.252 0.000 0.000
0.000 3.765 0.000
-2.728 0.000 8.208
Mg Si
6 8
direct
0.000 0.000 0.000
0.008 0.500 0.654
0.318 0.000 0.853
0.402 0.000 0.298
0.445 0.500 0.607
0.861 0.000 0.302
0.130 0.500 0.296
0.189 0.000 0.508
0.249 0.500 0.054
0.562 0.500 0.117
0.662 0.000 0.979
0.671 0.500 0.413
0.722 0.000 0.612
0.757 0.500 0.825
```

Values from the calculation:
Uncorrected energy in eV per atom: -3.6917
Symmetry: Pm
Crystal system: monoclinic

***

(21)
# ZnCr3Cd

A geometry-optimized ZnCr3Cd structure (PBE, Alexandria).

```
ZnCr3Cd
1.0
5.100 0.000 0.000
0.000 5.100 0.000
0.000 0.000 5.100
Zn Cr Cd
1 3 1
direct
0.000 0.000 0.000
0.000 0.500 0.500
0.500 0.000 0.500
0.500 0.500 0.000
0.500 0.500 0.500
```

Values from the calculation:
Uncorrected energy in eV per atom: -4.6165
Symmetry: Pm-3m
Crystal system: cubic
Energy of formation from the pure elements in eV per atom: 1.60

***

(22)
# Pm4DyTe5

A geometry-optimized Pm4DyTe5 structure (PBE, Alexandria).

```
Pm4DyTe5
1.0
-2.211 2.211 15.884
2.211 -2.211 15.884
2.211 2.211 -15.884
Pm Dy Te
4 1 5
direct
0.104 0.104 0.000
0.307 0.307 0.000
0.693 0.693 0.000
0.896 0.896 0.000
0.500 0.500 0.000
0.000 0.000 0.000
0.204 0.204 0.000
0.405 0.405 0.000
0.595 0.595 0.000
0.796 0.796 0.000
```

Values from the calculation:
Uncorrected energy in eV per atom: -5.3140
Symmetry: I4/mmm
Crystal system: tetragonal

***

(23)
# DyAlZn11

A geometry-optimized DyAlZn11 structure (PBE, Alexandria).

```
DyAlZn11
1.0
2.629 -6.268 0.000
2.629 6.268 0.000
-2.617 0.000 6.270
Dy Al Zn
1 1 11
direct
0.000 0.000 0.000
0.000 0.000 0.500
0.000 0.355 0.353
0.000 0.500 0.000
0.000 0.645 0.647
0.287 0.505 0.785
0.355 0.000 0.353
0.495 0.713 0.215
0.500 0.000 0.000
0.500 0.500 0.500
0.505 0.287 0.785
0.645 0.000 0.647
0.713 0.495 0.215
```

Values from the calculation:
Uncorrected energy in eV per atom: -1.8880
Symmetry: C2/m
Crystal system: monoclinic
Energy of formation from the pure elements in eV per atom: -0.17

***

(24)
# HgSbI2Cl

A geometry-optimized HgSbI2Cl structure (PBE, Alexandria).

```
HgSbI2Cl
1.0
6.047 0.000 0.000
0.000 6.047 0.000
0.000 0.000 5.335
Hg Sb I Cl
1 1 2 1
direct
0.000 0.000 0.000
0.500 0.500 0.500
0.000 0.500 0.500
0.500 0.000 0.500
0.500 0.500 0.000
```

Values from the calculation:
Uncorrected energy in eV per atom: -2.1414
Symmetry: P4/mmm
Crystal system: tetragonal